Version w
Entry from the Open Quantum Materials Database: crystalline TaAlPO at its relaxed geometry (PBE-GGA).

Lattice parameters (Å, degrees): 3.5668 6.7913 4.9860 90.00 90.00 90.00
Atoms (fractional coordinates):
1 Ta 0.0000 0.1276 0.0000
2 Ta 0.0000 0.8724 0.5000
3 Al 0.5000 0.4055 0.6443
4 Al 0.5000 0.5945 0.1443
5 P 0.0000 0.2310 0.4875
6 P 0.0000 0.7690 0.9875
7 O 0.5000 0.3479 0.9985
8 O 0.5000 0.6521 0.4985

Results
- Space group: Pmc2_1
- Calculated density: 7.01 g/cm3



Version x
Entry from the Open Quantum Materials Database: crystalline TaAlPO at its relaxed geometry (PBE-GGA).

Lattice parameters (Å, degrees): 3.4449 3.4449 9.2866 90.00 90.00 90.00
Atoms (fractional coordinates):
1 Ta 0.2500 0.2500 0.1431
2 Ta 0.7500 0.7500 0.8569
3 Al 0.2500 0.7500 0.5000
4 Al 0.7500 0.2500 0.5000
5 P 0.2500 0.2500 0.7329
6 P 0.7500 0.7500 0.2671
7 O 0.2500 0.7500 0.0000
8 O 0.7500 0.2500 0.0000

Results
- Space group: P4/nmm
- Calculated density: 7.68 g/cm3



Most stable: version w (next structure +0.168 eV/atom)



Version w
Entry from the Open Quantum Materials Database: crystalline TaAlPO at its relaxed geometry (PBE-GGA).

Lattice parameters (Å, degrees): 3.1780 5.4815 6.2735 90.00 90.00 90.00
Atoms (fractional coordinates):
1 Ta 0.0000 0.0930 0.0000
2 Ta 0.0000 0.9070 0.5000
3 Al 0.5000 0.4336 0.3825
4 Al 0.5000 0.5664 0.8825
5 P 0.5000 0.1872 0.7017
6 P 0.5000 0.8128 0.2017
7 O 0.0000 0.2668 0.3056
8 O 0.0000 0.7332 0.8056

Results
- Space group: Pmc2_1
- Calculated density: 7.75 g/cm3



Version x
Entry from the Open Quantum Materials Database: crystalline TaAlPO at its relaxed geometry (PBE-GGA).

Lattice parameters (Å, degrees): 3.7682 3.7682 9.3087 90.00 90.00 90.00
Atoms (fractional coordinates):
1 Ta 0.2500 0.7500 0.0000
2 Ta 0.7500 0.2500 0.0000
3 Al 0.2500 0.2500 0.4298
4 Al 0.7500 0.7500 0.5702
5 P 0.2500 0.2500 0.1839
6 P 0.7500 0.7500 0.8161
7 O 0.2500 0.7500 0.5000
8 O 0.7500 0.2500 0.5000

Results
- Space group: P4/nmm
- Calculated density: 6.40 g/cm3



Most stable: version x (next structure +0.139 eV/atom)



Version w
Entry from the Open Quantum Materials Database: crystalline AlTcPO at its relaxed geometry (PBE-GGA).

Lattice parameters (Å, degrees): 3.1669 5.7479 5.8034 90.00 90.00 90.00
Atoms (fractional coordinates):
1 Al 0.0000 0.1289 0.0000
2 Al 0.0000 0.8711 0.5000
3 Tc 0.5000 0.4952 0.6338
4 Tc 0.5000 0.5048 0.1338
5 P 0.0000 0.2817 0.4093
6 P 0.0000 0.7183 0.9093
7 O 0.5000 0.2146 0.8796
8 O 0.5000 0.7854 0.3796

Results
- Space group: Pmc2_1
- Calculated density: 5.41 g/cm3



Version x
Entry from the Open Quantum Materials Database: crystalline AlTcPO at its relaxed geometry (PBE-GGA).

Lattice parameters (Å, degrees): 3.7667 3.7667 8.7215 90.00 90.00 90.00
Atoms (fractional coordinates):
1 Al 0.2500 0.2500 0.0739
2 Al 0.7500 0.7500 0.9261
3 Tc 0.2500 0.7500 0.5000
4 Tc 0.7500 0.2500 0.5000
5 P 0.2500 0.2500 0.3385
6 P 0.7500 0.7500 0.6615
7 O 0.2500 0.7500 0.0000
8 O 0.7500 0.2500 0.0000

Results
- Space group: P4/nmm
- Calculated density: 4.62 g/cm3



Version y
Entry from the Open Quantum Materials Database: crystalline AlTcPO at its relaxed geometry (PBE-GGA).

Lattice parameters (Å, degrees): 3.5461 3.5461 8.0595 90.00 90.00 90.00
Atoms (fractional coordinates):
1 Al 0.2500 0.7500 0.0000
2 Al 0.7500 0.2500 0.0000
3 Tc 0.2500 0.2500 0.3438
4 Tc 0.7500 0.7500 0.6562
5 P 0.2500 0.2500 0.7850
6 P 0.7500 0.7500 0.2150
7 O 0.2500 0.7500 0.5000
8 O 0.7500 0.2500 0.5000

Results
- Space group: P4/nmm
- Calculated density: 5.63 g/cm3



Most stable: version x (next structure +0.319 eV/atom)



Version w
Entry from the Open Quantum Materials Database: crystalline Pm2Al2O5 at its relaxed geometry (PBE-GGA).

Lattice parameters (Å, degrees): 3.7472 3.7472 7.2122 90.00 90.00 90.00
Atoms (fractional coordinates):
1 Pm 0.0000 0.0000 0.0000
2 Pm 0.0000 0.0000 0.5000
3 Al 0.5000 0.5000 0.2385
4 Al 0.5000 0.5000 0.7615
5 O 0.0000 0.5000 0.2454
6 O 0.0000 0.5000 0.7546
7 O 0.5000 0.0000 0.2454
8 O 0.5000 0.0000 0.7546
9 O 0.5000 0.5000 0.5000

Results
- Space group: P4/mmm
- Calculated density: 6.95 g/cm3



Version x
Entry from the Open Quantum Materials Database: crystalline Pm2Al2O5 at its relaxed geometry (PBE-GGA).

Lattice parameters (Å, degrees): 3.7951 3.7951 9.3822 90.00 90.00 90.00
Atoms (fractional coordinates):
1 Pm 0.0000 0.0000 0.2444
2 Pm 0.0000 0.0000 0.7556
3 Al 0.5000 0.5000 0.0000
4 Al 0.5000 0.5000 0.5000
5 O 0.0000 0.0000 0.5000
6 O 0.0000 0.5000 0.1267
7 O 0.0000 0.5000 0.8733
8 O 0.5000 0.0000 0.1267
9 O 0.5000 0.0000 0.8733

Results
- Space group: P4/mmm
- Calculated density: 5.21 g/cm3



Most stable: version w (next structure +0.851 eV/atom)



Version w
Entry from the Open Quantum Materials Database: crystalline Pr2Al2O5 at its relaxed geometry (PBE-GGA).

Lattice parameters (Å, degrees): 3.7729 3.7729 7.3446 90.00 90.00 90.00
Atoms (fractional coordinates):
1 Pr 0.0000 0.0000 0.0000
2 Pr 0.0000 0.0000 0.5000
3 Al 0.5000 0.5000 0.2420
4 Al 0.5000 0.5000 0.7580
5 O 0.0000 0.5000 0.2466
6 O 0.0000 0.5000 0.7534
7 O 0.5000 0.0000 0.2466
8 O 0.5000 0.0000 0.7534
9 O 0.5000 0.5000 0.5000

Results
- Space group: P4/mmm
- Calculated density: 6.60 g/cm3



Version x
Entry from the Open Quantum Materials Database: crystalline Pr2Al2O5 at its relaxed geometry (PBE-GGA).

Lattice parameters (Å, degrees): 3.7865 3.7865 9.7103 90.00 90.00 90.00
Atoms (fractional coordinates):
1 Pr 0.0000 0.0000 0.2452
2 Pr 0.0000 0.0000 0.7548
3 Al 0.5000 0.5000 0.0000
4 Al 0.5000 0.5000 0.5000
5 O 0.0000 0.0000 0.5000
6 O 0.0000 0.5000 0.1228
7 O 0.0000 0.5000 0.8772
8 O 0.5000 0.0000 0.1228
9 O 0.5000 0.0000 0.8772

Results
- Space group: P4/mmm
- Calculated density: 4.96 g/cm3



Most stable: version w (next structure +0.926 eV/atom)



Version w
Entry from the Open Quantum Materials Database: crystalline Al2Re2O5 at its relaxed geometry (PBE-GGA).

Lattice parameters (Å, degrees): 3.8410 3.8410 6.6282 90.00 90.00 90.00
Atoms (fractional coordinates):
1 Al 0.0000 0.0000 0.0000
2 Al 0.0000 0.0000 0.5000
3 Re 0.5000 0.5000 0.1796
4 Re 0.5000 0.5000 0.8204
5 O 0.0000 0.5000 0.2602
6 O 0.0000 0.5000 0.7398
7 O 0.5000 0.0000 0.2602
8 O 0.5000 0.0000 0.7398
9 O 0.5000 0.5000 0.5000

Results
- Space group: P4/mmm
- Calculated density: 8.60 g/cm3



Version x
Entry from the Open Quantum Materials Database: crystalline Al2Re2O5 at its relaxed geometry (PBE-GGA).

Lattice parameters (Å, degrees): 3.4448 3.4448 7.9303 90.00 90.00 90.00
Atoms (fractional coordinates):
1 Al 0.0000 0.0000 0.2454
2 Al 0.0000 0.0000 0.7546
3 Re 0.5000 0.5000 0.0000
4 Re 0.5000 0.5000 0.5000
5 O 0.0000 0.0000 0.0000
6 O 0.0000 0.5000 0.3392
7 O 0.0000 0.5000 0.6608
8 O 0.5000 0.0000 0.3392
9 O 0.5000 0.0000 0.6608

Results
- Space group: P4/mmm
- Calculated density: 8.94 g/cm3



Most stable: version x (next structure +0.242 eV/atom)



Version w
Entry from the Open Quantum Materials Database: crystalline Ta2Al2O5 at its relaxed geometry (PBE-GGA).

Lattice parameters (Å, degrees): 3.7484 3.7484 6.2798 90.00 90.00 90.00
Atoms (fractional coordinates):
1 Ta 0.0000 0.0000 0.0000
2 Ta 0.0000 0.0000 0.5000
3 Al 0.5000 0.5000 0.2118
4 Al 0.5000 0.5000 0.7882
5 O 0.0000 0.5000 0.2269
6 O 0.0000 0.5000 0.7731
7 O 0.5000 0.0000 0.2269
8 O 0.5000 0.0000 0.7731
9 O 0.5000 0.5000 0.5000

Results
- Space group: P4/mmm
- Calculated density: 9.33 g/cm3



Version x
Entry from the Open Quantum Materials Database: crystalline Ta2Al2O5 at its relaxed geometry (PBE-GGA).

Lattice parameters (Å, degrees): 3.9844 3.9844 7.5420 90.00 90.00 90.00
Atoms (fractional coordinates):
1 Ta 0.0000 0.0000 0.2336
2 Ta 0.0000 0.0000 0.7664
3 Al 0.5000 0.5000 0.0000
4 Al 0.5000 0.5000 0.5000
5 O 0.0000 0.0000 0.5000
6 O 0.0000 0.5000 0.2306
7 O 0.0000 0.5000 0.7694
8 O 0.5000 0.0000 0.2306
9 O 0.5000 0.0000 0.7694

Results
- Space group: P4/mmm
- Calculated density: 6.88 g/cm3



Most stable: version x (next structure +0.137 eV/atom)



Version w
Entry from the Open Quantum Materials Database: crystalline Al2Zn2O5 at its relaxed geometry (PBE-GGA).

Lattice parameters (Å, degrees): 3.5419 3.5419 7.9080 90.00 90.00 90.00
Atoms (fractional coordinates):
1 Al 0.0000 0.0000 0.0000
2 Al 0.0000 0.0000 0.5000
3 Zn 0.5000 0.5000 0.2431
4 Zn 0.5000 0.5000 0.7569
5 O 0.0000 0.5000 0.1470
6 O 0.0000 0.5000 0.8530
7 O 0.5000 0.0000 0.1470
8 O 0.5000 0.0000 0.8530
9 O 0.5000 0.5000 0.5000

Results
- Space group: P4/mmm
- Calculated density: 4.43 g/cm3



Version x
Entry from the Open Quantum Materials Database: crystalline Al2Zn2O5 at its relaxed geometry (PBE-GGA).

Lattice parameters (Å, degrees): 3.5639 3.5639 7.0780 90.00 90.00 90.00
Atoms (fractional coordinates):
1 Al 0.0000 0.0000 0.2468
2 Al 0.0000 0.0000 0.7532
3 Zn 0.5000 0.5000 0.0000
4 Zn 0.5000 0.5000 0.5000
5 O 0.0000 0.0000 0.5000
6 O 0.0000 0.5000 0.1957
7 O 0.0000 0.5000 0.8043
8 O 0.5000 0.0000 0.1957
9 O 0.5000 0.0000 0.8043

Results
- Space group: P4/mmm
- Calculated density: 4.89 g/cm3



Most stable: version x (next structure +0.738 eV/atom)



Version w
Entry from the Open Quantum Materials Database: crystalline PmAlOs at its relaxed geometry (PBE-GGA).

Lattice parameters (Å, degrees): 4.6972 4.6972 4.6972 60.00 60.00 60.00
Atoms (fractional coordinates):
1 Pm 0.0000 0.0000 0.0000
2 Al 0.7500 0.7500 0.7500
3 Os 0.2500 0.2500 0.2500

Results
- Space group: F-43m
- Calculated density: 8.21 g/cm3



Version x
Entry from the Open Quantum Materials Database: crystalline PmAlOs at its relaxed geometry (PBE-GGA).

Lattice parameters (Å, degrees): 4.5172 4.5172 4.5172 60.00 60.00 60.00
Atoms (fractional coordinates):
1 Pm 0.0000 0.0000 0.0000
2 Al 0.7500 0.7500 0.7500
3 Os 0.5000 0.5000 0.5000

Results
- Space group: F-43m
- Calculated density: 9.23 g/cm3



Most stable: version x (next structure +0.685 eV/atom)



Version w
Entry from the Open Quantum Materials Database: crystalline RbAlOs at its relaxed geometry (PBE-GGA).

Lattice parameters (Å, degrees): 4.7156 4.7156 4.7156 60.00 60.00 60.00
Atoms (fractional coordinates):
1 Rb 0.0000 0.0000 0.0000
2 Al 0.7500 0.7500 0.7500
3 Os 0.5000 0.5000 0.5000

Results
- Space group: F-43m
- Calculated density: 6.78 g/cm3



Version x
Entry from the Open Quantum Materials Database: crystalline RbAlOs at its relaxed geometry (PBE-GGA).

Lattice parameters (Å, degrees): 4.6359 4.6359 4.6359 60.00 60.00 60.00
Atoms (fractional coordinates):
1 Rb 0.0000 0.0000 0.0000
2 Al 0.5000 0.5000 0.5000
3 Os 0.7500 0.7500 0.7500

Results
- Space group: F-43m
- Calculated density: 7.13 g/cm3



Most stable: version x (next structure +0.227 eV/atom)



Version w
Entry from the Open Quantum Materials Database: crystalline Sr2AlOsS6 at its relaxed geometry (PBE-GGA).

Lattice parameters (Å, degrees): 6.6724 6.6724 6.6724 60.00 60.00 60.00
Atoms (fractional coordinates):
1 Sr 0.2500 0.2500 0.2500
2 Sr 0.7500 0.7500 0.7500
3 Al 0.0000 0.0000 0.0000
4 Os 0.5000 0.5000 0.5000
5 S 0.2499 0.2499 0.7501
6 S 0.2499 0.7501 0.2499
7 S 0.2499 0.7501 0.7501
8 S 0.7501 0.2499 0.2499
9 S 0.7501 0.2499 0.7501
10 S 0.7501 0.7501 0.2499

Results
- Space group: Fm-3m
- Calculated density: 4.62 g/cm3



Version x
Entry from the Open Quantum Materials Database: crystalline Sr2AlOsS6 at its relaxed geometry (PBE-GGA).

Lattice parameters (Å, degrees): 6.8590 6.8590 6.8590 124.98 124.98 81.56
Atoms (fractional coordinates):
1 Sr 0.2500 0.7500 0.5000
2 Sr 0.7500 0.2500 0.5000
3 Al 0.0000 0.0000 0.0000
4 Os 0.5000 0.5000 0.0000
5 S 0.1683 0.6744 0.8427
6 S 0.2638 0.2638 0.0000
7 S 0.3256 0.1683 0.4940
8 S 0.6744 0.8317 0.5060
9 S 0.7362 0.7362 0.0000
10 S 0.8317 0.3256 0.1573

Results
- Space group: I4/m
- Calculated density: 4.66 g/cm3



Most stable: version x (next structure +0.105 eV/atom)